# 1
{
  "formula": "Ac5DyIn4",
  "functional": "PBE-GGA",
  "state": "relaxed",
  "cell": [[-0.024, 2.838, 2.898], [-1.816, -2.599, 2.530], [19.332, -6.837, 6.855]],
  "species": ["Ac", "Ac", "Ac", "Ac", "Ac", "Dy", "In", "In", "In", "In"],
  "fractional_positions": [[0.500, 0.500, 0.111], [0.500, 0.500, 0.304], [0.500, 0.500, 0.500], [0.500, 0.500, 0.696], [0.500, 0.500, 0.889], [0.000, 0.000, 0.000], [0.000, 0.000, 0.206], [0.000, 0.000, 0.402], [0.000, 0.000, 0.598], [0.000, 0.000, 0.794]],
  "crystal_system": "tetragonal",
  "e_tot_ev_per_atom": -3.9168,
  "magmom_total_mub_per_cell": 0.0,
  "formation_enthalpy_0k_mev_per_atom": -307.0
}

---

# 2
{
  "formula": "Tm4PuMg5",
  "functional": "PBE-GGA",
  "state": "relaxed",
  "cell": [[-1.984, 0.112, -3.174], [-3.171, -0.278, 1.973], [-0.890, 18.807, 1.221]],
  "species": ["Tm", "Tm", "Tm", "Tm", "Pu", "Mg", "Mg", "Mg", "Mg", "Mg"],
  "fractional_positions": [[0.000, 0.000, 0.203], [0.000, 0.000, 0.401], [0.000, 0.000, 0.599], [0.000, 0.000, 0.797], [0.000, 0.000, 0.000], [0.500, 0.500, 0.105], [0.500, 0.500, 0.302], [0.500, 0.500, 0.500], [0.500, 0.500, 0.698], [0.500, 0.500, 0.895]],
  "crystal_system": "tetragonal",
  "e_tot_ev_per_atom": -4.0113,
  "magmom_total_mub_per_cell": 6.4,
  "formation_enthalpy_0k_mev_per_atom": 7.8
}

---

# 3
{
  "formula": "Ce2IO",
  "functional": "PBE-GGA",
  "state": "relaxed",
  "cell": [[3.456, 0.000, 0.000], [0.000, 3.456, 0.000], [0.000, 0.000, 7.373]],
  "species": ["I", "O", "Ce", "Ce"],
  "fractional_positions": [[0.500, 0.500, 0.500], [0.500, 0.500, 0.000], [0.000, 0.000, 0.800], [0.000, 0.000, 0.200]],
  "crystal_system": "tetragonal",
  "e_tot_ev_per_atom": -5.7190,
  "magmom_total_mub_per_cell": 3.6,
  "formation_energy_uncorrected_kj_per_mol_atoms": -108.5
}

---

# 4
{
  "formula": "ScUTl2Te4",
  "functional": "PBE-GGA",
  "state": "relaxed",
  "cell": [[4.340, 0.000, 0.000], [0.000, 7.516, 0.141], [0.000, -2.637, 8.197]],
  "species": ["Sc", "U", "Tl", "Tl", "Te", "Te", "Te", "Te"],
  "fractional_positions": [[0.000, 0.000, 0.000], [0.500, 0.500, 0.000], [0.500, 0.000, 0.500], [0.000, 0.500, 0.500], [0.500, 0.223, 0.206], [0.500, 0.777, 0.794], [0.000, 0.251, 0.787], [0.000, 0.749, 0.213]],
  "crystal_system": "monoclinic",
  "e_tot_ev_per_atom": -5.0730,
  "magmom_total_mub_per_cell": 3.0,
  "formation_energy_uncorrected_kj_per_mol_atoms": -68.3
}